Y3C2: optimized geometry, PBE.

Total energy in eV per atom: -7.85
Total moment in Bohr magnetons per cell: 0.0

Cell and atoms, written as POSCAR:
```
Y3C2
1.0
-1.317 -2.021 -2.723
1.632 -1.601 2.829
-8.154 -0.582 4.374
C Y
2 3
Cartesian
-1.740 -1.982 -0.118
-6.098 -2.223 4.599
-1.762 -1.913 2.272
-6.076 -2.291 2.208
0.000 0.000 0.000
```



YC2: optimized geometry, PBE.

Total energy in eV per atom: -7.84
Total moment in Bohr magnetons per cell: 1.0

Cell and atoms, written as POSCAR:
```
YC2
1.0
2.510 -3.148 0.000
2.510 3.148 0.000
0.000 0.000 5.286
C Y
4 2
Cartesian
2.510 0.501 4.580
2.510 -0.820 0.000
2.510 0.501 0.706
2.510 3.006 2.643
2.510 2.920 0.000
2.510 -0.864 2.643
```



Y5C: optimized geometry, PBE.

Total energy in eV per atom: -6.54
Total moment in Bohr magnetons per cell: 0.0

Cell and atoms, written as POSCAR:
```
Y5C
1.0
6.733 4.883 -3.847
-8.199 -3.991 0.909
-2.151 5.010 2.594
C Y
1 5
Cartesian
-0.733 0.446 -1.469
0.696 4.439 -0.970
-1.076 2.505 1.297
5.322 4.044 -3.398
-6.788 -3.153 0.459
-4.313 1.462 0.625
```



YC2: optimized geometry, PBE.

Total energy in eV per atom: -8.15
Total moment in Bohr magnetons per cell: 0.0

Cell and atoms, written as POSCAR:
```
YC2
1.0
3.648 0.000 0.000
1.080 3.485 0.000
1.080 0.796 3.393
C Y
2 1
Cartesian
3.307 2.438 1.932
4.261 3.141 2.489
0.175 0.129 0.102
```



Y5C: optimized geometry, PBE.

Total energy in eV per atom: -5.33
Total moment in Bohr magnetons per cell: 1.5

Cell and atoms, written as POSCAR:
```
Y5C
1.0
3.092 -5.356 0.000
3.092 5.356 0.000
0.000 0.000 6.026
Y C
5 1
Cartesian
3.092 0.000 3.013
1.546 2.678 3.013
1.546 -2.678 3.013
3.092 -1.785 0.000
3.092 1.785 0.000
0.000 0.000 0.000
```



YC2: optimized geometry, PBE.

Total energy in eV per atom: -8.25
Total moment in Bohr magnetons per cell: 0.0

Cell and atoms, written as POSCAR:
```
YC2
1.0
3.140 -5.438 0.000
3.140 5.438 0.000
0.000 0.000 4.206
Y C
3 6
Cartesian
0.000 0.000 0.000
3.140 -1.813 2.103
3.140 1.813 2.103
0.734 1.272 2.103
0.734 -1.272 2.103
2.405 -4.166 2.103
4.811 0.000 2.103
2.405 4.166 2.103
1.469 0.000 2.103
```



YC2: optimized geometry, PBE.

Total energy in eV per atom: -8.37
Total moment in Bohr magnetons per cell: 0.0

Cell and atoms, written as POSCAR:
```
YC2
1.0
4.292 0.000 0.000
0.000 4.292 0.000
0.000 0.000 5.046
C Y
4 2
Cartesian
2.601 1.691 2.523
0.455 0.455 0.000
3.836 3.836 0.000
1.691 2.601 2.523
0.000 0.000 2.523
2.146 2.146 0.000
```



Y5C4: optimized geometry, PBE.

Total energy in eV per atom: -7.60
Total moment in Bohr magnetons per cell: 0.0

Cell and atoms, written as POSCAR:
```
Y5C4
1.0
-7.200 -1.377 -0.844
4.443 -5.180 2.808
-1.149 2.297 6.056
C Y
8 10
Cartesian
0.000 0.000 0.000
-4.467 -0.225 1.024
-2.463 -2.083 5.682
-0.575 1.149 3.028
1.002 -0.450 5.720
-1.444 -2.176 2.338
-3.882 1.145 4.188
2.292 -2.433 3.144
-0.013 -2.764 4.619
0.562 -3.912 1.591
0.778 -0.667 2.187
-2.013 0.244 1.312
-6.336 0.676 3.900
-3.894 -1.496 3.401
-3.319 -2.645 0.373
-1.523 0.151 5.013
-2.384 -4.411 3.007
2.516 -2.215 6.677
```



Y3C: optimized geometry, PBE.

Total energy in eV per atom: -6.17
Total moment in Bohr magnetons per cell: 0.0

Cell and atoms, written as POSCAR:
```
Y3C
1.0
5.683 0.000 0.000
0.000 5.683 0.000
0.000 0.000 5.683
Y C
6 2
Cartesian
4.262 2.842 0.000
2.842 0.000 1.421
0.000 4.262 2.842
0.000 1.421 2.842
1.421 2.842 0.000
2.842 0.000 4.262
2.842 2.842 2.842
0.000 0.000 0.000
```



Y3C: optimized geometry, PBE.

Total energy in eV per atom: -6.95
Total moment in Bohr magnetons per cell: 0.2

Cell and atoms, written as POSCAR:
```
Y3C
1.0
6.284 0.001 -0.001
2.989 5.528 0.001
-3.895 -4.009 2.873
C Y
1 3
Cartesian
1.195 -2.004 1.436
3.133 1.868 0.000
-0.453 0.760 1.437
6.141 3.661 0.000
```



Y3C: optimized geometry, PBE.

Total energy in eV per atom: -6.24
Total moment in Bohr magnetons per cell: 0.0

Cell and atoms, written as POSCAR:
```
Y3C
1.0
5.960 -0.001 0.000
2.985 5.159 0.000
-4.472 -2.579 2.978
Y C
3 1
Cartesian
4.472 2.579 0.000
1.492 2.579 1.489
2.980 0.000 1.489
0.000 0.000 0.000
```



Y5C: optimized geometry, PBE.

Total energy in eV per atom: -5.58
Total moment in Bohr magnetons per cell: 0.5

Cell and atoms, written as POSCAR:
```
Y5C
1.0
3.753 -4.969 -1.387
-1.179 -5.709 2.591
-2.215 -4.755 -3.631
Y C
5 1
Cartesian
-1.644 -7.164 -0.825
1.327 -7.270 0.292
0.090 -3.858 -0.607
0.224 -9.637 -1.515
0.811 -6.795 -2.805
0.000 0.000 0.000
```



Y3C: optimized geometry, PBE.

Total energy in eV per atom: -7.00
Total moment in Bohr magnetons per cell: 0.0

Cell and atoms, written as POSCAR:
```
Y3C
1.0
3.487 0.006 0.000
-1.508 3.144 0.000
0.000 0.000 9.280
Y C
3 1
Cartesian
0.989 1.575 7.725
0.000 0.000 4.640
0.989 1.575 1.556
0.000 0.000 0.000
```



Y3C: optimized geometry, PBE.

Total energy in eV per atom: -7.07
Total moment in Bohr magnetons per cell: 0.0

Cell and atoms, written as POSCAR:
```
Y3C
1.0
-1.772 1.823 2.240
-5.568 -1.033 -3.564
-1.681 -7.552 4.816
Y C
6 2
Cartesian
-3.552 -5.471 4.205
-3.626 -4.297 0.629
-6.522 -6.022 2.304
-1.799 -1.686 -0.051
-4.397 -2.168 -1.714
-1.726 -2.860 3.525
-4.150 -1.763 0.714
-1.201 -5.394 3.440
```



YC2: optimized geometry, PBE.

Total energy in eV per atom: -7.53
Total moment in Bohr magnetons per cell: 0.0

Cell and atoms, written as POSCAR:
```
YC2
1.0
-1.404 1.966 -1.480
-0.911 -0.754 2.575
5.268 6.625 3.804
C Y
4 2
Cartesian
-0.956 0.302 1.309
1.440 3.315 3.039
1.514 4.522 1.860
3.910 7.534 3.589
2.876 5.121 4.076
0.077 2.716 0.823
```



Y3C: optimized geometry, PBE.

Total energy in eV per atom: -5.91
Total moment in Bohr magnetons per cell: 1.1

Cell and atoms, written as POSCAR:
```
Y3C
1.0
5.057 0.000 0.000
2.528 4.379 0.000
2.528 1.460 4.129
Y C
3 1
Cartesian
7.585 4.379 3.097
2.528 1.460 1.032
5.057 2.920 2.064
0.000 0.000 0.000
```



Y8C: optimized geometry, PBE.

Total energy in eV per atom: -6.40
Total moment in Bohr magnetons per cell: 0.0

Cell and atoms, written as POSCAR:
```
Y8C
1.0
7.462 4.468 1.065
-5.560 -6.706 0.947
2.243 -2.528 -8.085
Y C
8 1
Cartesian
-2.203 -6.131 -4.739
1.772 -2.057 -0.815
-1.115 -3.103 -2.399
2.372 -2.709 -5.259
2.625 0.318 1.021
3.261 0.652 -2.359
-0.723 -2.556 0.990
6.443 1.288 -4.661
0.000 0.000 0.000
```



Y3C: optimized geometry, PBE.

Total energy in eV per atom: -7.32
Total moment in Bohr magnetons per cell: 0.5

Cell and atoms, written as POSCAR:
```
Y3C
1.0
-1.991 -0.947 2.848
2.351 -4.447 0.165
3.733 4.895 1.959
Y C
3 1
Cartesian
0.175 0.184 2.461
1.176 -2.223 0.082
3.919 -0.683 2.512
0.000 0.000 0.000
```



Y3C: optimized geometry, PBE.

Total energy in eV per atom: -6.08
Total moment in Bohr magnetons per cell: 0.0

Cell and atoms, written as POSCAR:
```
Y3C
1.0
5.641 0.002 0.004
-2.460 5.077 0.004
-2.460 -3.927 3.218
Y C
3 1
Cartesian
-2.460 0.575 1.611
1.591 2.539 0.004
1.591 -1.963 1.611
0.000 0.000 0.000
```



YC2: optimized geometry, PBE.

Total energy in eV per atom: -8.01
Total moment in Bohr magnetons per cell: 0.0

Cell and atoms, written as POSCAR:
```
YC2
1.0
1.414 -0.499 4.590
-3.867 -2.879 0.272
3.268 -1.141 -3.367
C Y
4 2
Cartesian
-1.891 -3.193 1.051
2.706 -1.326 0.444
0.173 -1.797 -1.161
0.642 -2.722 2.656
-0.613 -0.845 1.215
-1.840 -2.534 3.646
```



Number 1: D(E_F) 0.37 states/eV/atom. Number 2: D(E_F) 0.19 states/eV/atom. Number 3: D(E_F) 1.19 states/eV/atom. Number 4: D(E_F) 0.63 states/eV/atom. Number 5: D(E_F) 1.50 states/eV/atom. Number 6: D(E_F) 0.62 states/eV/atom. Number 7: D(E_F) 0.38 states/eV/atom. Number 8: D(E_F) 0.66 states/eV/atom. Number 9: D(E_F) 1.21 states/eV/atom. Number 10: D(E_F) 1.18 states/eV/atom. Number 11: D(E_F) 0.65 states/eV/atom. Number 12: D(E_F) 1.36 states/eV/atom. Number 13: D(E_F) 1.12 states/eV/atom. Number 14: D(E_F) 1.18 states/eV/atom. Number 15: D(E_F) 0.32 states/eV/atom. Number 16: D(E_F) 1.31 states/eV/atom. Number 17: D(E_F) 1.61 states/eV/atom. Number 18: D(E_F) 1.35 states/eV/atom. Number 19: D(E_F) 0.97 states/eV/atom. Number 20: D(E_F) 0.62 states/eV/atom.